# 1
A PBEsol-optimized structure of Sr2MgNi. Source: the Alexandria database, functional meta-GGA SCAN.

**Spin magnetization**: 0.06 μB per formula unit
**E**: -16.285 eV/atom
**Energy relative to the elements**: 0.14 eV per atom
**V**: 112.8 Å³/cell
**N(E_F)**: 3.34 states/eV/f.u.

The structure in extended XYZ format:
```
4
Lattice="3.6512 0.0000 0.0425 0.0000 3.6641 0.0000 -0.0999 0.0000 8.4286" Properties=species:S:1:pos:R:3 pbc="T T T"
Mg 1.8256 1.8321 0.0212
Ni 1.7756 1.8321 4.2355
Sr -0.0703 0.0000 5.9324
Sr 3.6215 0.0000 2.5386
```

---

# 2
A PBEsol-optimized structure of Sr2MgNi. Source: the Alexandria database, functional meta-GGA SCAN.

**Spin magnetization**: 0.00 μB per formula unit
**E**: -16.332 eV/atom
**Energy relative to the elements**: 0.09 eV per atom
**V**: 121.3 Å³/cell
**N(E_F)**: 2.61 states/eV/f.u.

The structure in extended XYZ format:
```
4
Lattice="4.4637 0.0000 0.0000 0.0000 4.5984 0.0000 0.0000 -2.2992 5.9088" Properties=species:S:1:pos:R:3 pbc="T T T"
Mg 0.0000 2.2992 3.5814
Ni 2.2318 2.2992 2.3220
Sr 0.0000 0.0000 1.2819
Sr 2.2318 0.0000 4.6508
```

---

# 3
A PBEsol-optimized structure of Mg2TaNi. Source: the Alexandria database, functional meta-GGA SCAN.

**Spin magnetization**: 0.00 μB per formula unit
**E**: -22.908 eV/atom
**Energy relative to the elements**: 0.27 eV per atom
**V**: 64.0 Å³/cell
**N(E_F)**: 2.99 states/eV/f.u.

The structure in extended XYZ format:
```
4
Lattice="3.8088 0.0000 0.0000 0.0000 3.8088 0.0000 0.0000 0.0000 4.4134" Properties=species:S:1:pos:R:3 pbc="T T T"
Mg 0.0000 1.9044 0.0000
Mg 1.9044 0.0000 0.0000
Ni 1.9044 1.9044 2.2067
Ta 0.0000 0.0000 2.2067
```

---

# 4
A PBEsol-optimized structure of MgTaNi2. Source: the Alexandria database, functional meta-GGA SCAN.

**Spin magnetization**: 0.00 μB per formula unit
**E**: -25.872 eV/atom
**Energy relative to the elements**: 0.10 eV per atom
**V**: 57.2 Å³/cell
**N(E_F)**: 2.68 states/eV/f.u.

The structure in extended XYZ format:
```
4
Lattice="2.6849 0.0000 0.0000 -1.3424 4.0526 0.0050 0.0000 -0.6458 5.2516" Properties=species:S:1:pos:R:3 pbc="T T T"
Mg 1.3424 0.0000 0.0000
Ni 1.3424 1.5670 3.8389
Ni 0.0000 1.8398 1.4176
Ta 0.0000 -0.3229 2.6258
```

---

# 5
A PBEsol-optimized structure of MgTaNi2. Source: the Alexandria database, functional meta-GGA SCAN.

**Spin magnetization**: 0.00 μB per formula unit
**E**: -26.161 eV/atom
**Energy relative to the elements**: -0.19 eV per atom
**V**: 56.2 Å³/cell
**N(E_F)**: 3.34 states/eV/f.u.

The structure in extended XYZ format:
```
4
Lattice="2.8233 0.0000 0.0000 0.0000 3.1346 0.0000 0.0000 0.0000 6.3559" Properties=species:S:1:pos:R:3 pbc="T T T"
Mg 1.4116 1.5673 3.1779
Ni 0.0000 0.0000 4.8714
Ni 0.0000 0.0000 1.4845
Ta 1.4116 1.5673 0.0000
```

---

# 6
A PBEsol-optimized structure of MgTaNi2. Source: the Alexandria database, functional meta-GGA SCAN.

**Spin magnetization**: 0.00 μB per formula unit
**E**: -26.142 eV/atom
**Energy relative to the elements**: -0.17 eV per atom
**V**: 54.7 Å³/cell
**N(E_F)**: 2.38 states/eV/f.u.

The structure in extended XYZ format:
```
4
Lattice="-1.7949 -0.5959 -1.9835 1.9616 -3.9719 -0.5818 -2.7480 -1.8008 3.0279" Properties=species:S:1:pos:R:3 pbc="T T T"
Mg -1.2906 -3.1843 0.2313
Ni 0.9808 -1.9859 -0.2909
Ni -1.3740 -0.9004 1.5139
Ta -0.8975 -0.2980 -0.9917
```

---

# 7
A PBEsol-optimized structure of MgTaNi2. Source: the Alexandria database, functional meta-GGA SCAN.

**Spin magnetization**: 0.00 μB per formula unit
**E**: -26.022 eV/atom
**Energy relative to the elements**: -0.05 eV per atom
**V**: 55.6 Å³/cell
**N(E_F)**: 2.45 states/eV/f.u.

The structure in extended XYZ format:
```
4
Lattice="2.7040 0.0000 0.0000 0.0000 4.3811 0.0000 -1.3520 -2.1906 4.6941" Properties=species:S:1:pos:R:3 pbc="T T T"
Mg 0.0000 2.1906 2.4708
Ni 0.0000 0.0000 0.2477
Ni 1.3520 0.0000 2.2276
Ta 0.0000 0.0000 4.4421
```

---

# 8
A PBEsol-optimized structure of MgTcNi2. Source: the Alexandria database, functional meta-GGA SCAN.

**Spin magnetization**: 0.00 μB per formula unit
**E**: -18.060 eV/atom
**Energy relative to the elements**: 0.04 eV per atom
**V**: 51.3 Å³/cell
**N(E_F)**: 3.76 states/eV/f.u.

The structure in extended XYZ format:
```
4
Lattice="2.6069 0.0000 0.0472 0.0000 3.6272 0.0000 -0.0979 0.0000 5.4207" Properties=species:S:1:pos:R:3 pbc="T T T"
Mg 1.2545 1.8136 2.7340
Ni -0.0760 0.0000 4.2052
Ni 2.5849 0.0000 1.2628
Tc 1.3034 1.8136 0.0236
```

---

# 9
A PBEsol-optimized structure of MgTcNi6. Source: the Alexandria database, functional meta-GGA SCAN.

**Spin magnetization**: 1.83 μB per formula unit
**E**: -17.135 eV/atom
**Energy relative to the elements**: 0.00 eV per atom
**V**: 361.9 Å³/cell
**N(E_F)**: 7.73 states/eV/f.u.

The structure in extended XYZ format:
```
32
Lattice="-6.0873 -0.0421 -1.0075 1.7662 -5.5420 2.0591 -1.5896 3.0149 9.4781" Properties=species:S:1:pos:R:3 pbc="T T T"
Mg -0.2109 -4.1574 1.2871
Mg -4.1102 -1.4266 -0.2355
Mg -3.3530 -0.5303 7.6360
Mg -2.5577 -2.0388 2.8936
Ni -1.3487 -1.9476 8.3459
Ni -5.6183 -0.9117 8.6780
Ni -1.4740 0.5838 8.8973
Ni -5.3344 0.8435 6.7896
Ni -3.4112 1.9404 8.1409
Ni -3.6811 -2.2684 9.4344
Ni -2.9553 -1.2846 5.2648
Ni -1.0414 -0.1850 6.5431
Ni -3.0416 1.2158 5.7620
Ni -0.5763 -3.4127 3.7401
Ni -4.8693 -2.3841 3.9866
Ni -0.6532 -0.9213 4.2284
Ni -4.5619 -0.6215 2.1838
Ni -2.6534 0.4795 3.4473
Ni -2.8691 -3.7849 4.7676
Ni -2.1605 -2.7920 0.5258
Ni -0.2923 -1.6574 1.8517
Ni -2.2296 -0.3007 1.0953
Ni -0.7948 1.5075 4.7391
Ni -3.2573 -3.0486 7.0823
Ni -5.2575 -1.6478 6.3013
Ni 0.0000 0.0000 0.0000
Ni -2.4994 -4.5096 2.3888
Ni -4.4367 -3.1529 1.6324
Tc -1.0267 -2.6352 6.0179
Tc -4.8840 0.0661 4.5117
Tc -1.2034 2.2824 7.1754
Tc -0.3862 0.7325 2.3027
```

---

# 10
A PBEsol-optimized structure of MgTcNi. Source: the Alexandria database, functional meta-GGA SCAN.

**Spin magnetization**: 3.02 μB per formula unit
**E**: -17.601 eV/atom
**Energy relative to the elements**: 1.13 eV per atom
**V**: 48.4 Å³/cell
**N(E_F)**: 2.50 states/eV/f.u.

The structure in extended XYZ format:
```
3
Lattice="-3.9032 1.2264 0.0010 -2.9050 -2.4199 -1.5634 -2.7107 -1.8047 2.4768" Properties=species:S:1:pos:R:3 pbc="T T T"
Mg -7.1392 -2.2486 0.6857
Ni 0.0000 0.0000 0.0000
Tc -4.7594 -1.4991 0.4572
```

---

# 11
A PBEsol-optimized structure of MgNiTe2. Source: the Alexandria database, functional meta-GGA SCAN.

**Spin magnetization**: 0.00 μB per formula unit
**Relative energy among the computed polymorphs**: 17.9 kJ/mol of atoms
**E**: -24.050 eV/atom
**V**: 86.4 Å³/cell
**N(E_F)**: 2.26 states/eV/f.u.
**Energy relative to the elements, uncorrected**: -0.137 eV per atom

The structure in extended XYZ format:
```
4
Lattice="3.5147 0.0000 0.0000 0.0000 3.8720 0.0000 -1.7574 -1.9360 6.3508" Properties=species:S:1:pos:R:3 pbc="T T T"
Mg 0.0000 0.0000 5.7067
Ni 1.7574 0.0000 2.7225
Te 0.0000 0.0000 0.7532
Te 0.0000 1.9360 3.5192
```

---

# 12
A PBEsol-optimized structure of MgNiTe2. Source: the Alexandria database, functional meta-GGA SCAN.

**Spin magnetization**: 0.66 μB per formula unit
**Relative energy among the computed polymorphs**: 10.8 kJ/mol of atoms
**E**: -24.124 eV/atom
**V**: 89.3 Å³/cell
**N(E_F)**: 1.96 states/eV/f.u.
**Energy relative to the elements, uncorrected**: -0.212 eV per atom

The structure in extended XYZ format:
```
4
Lattice="3.5895 0.0000 0.0000 0.0000 3.5895 0.0000 0.0000 0.0000 6.9280" Properties=species:S:1:pos:R:3 pbc="T T T"
Mg 0.0000 0.0000 3.5493
Ni 1.7947 1.7947 5.1381
Te 0.0000 0.0000 6.2357
Te 1.7947 1.7947 2.3969
```

---

Please write out number 4 again, unchanged.
A PBEsol-optimized structure of MgTaNi2. Source: the Alexandria database, functional meta-GGA SCAN.

**Spin magnetization**: 0.00 μB per formula unit
**E**: -25.872 eV/atom
**Energy relative to the elements**: 0.10 eV per atom
**V**: 57.2 Å³/cell
**N(E_F)**: 2.68 states/eV/f.u.

The structure in extended XYZ format:
```
4
Lattice="2.6849 0.0000 0.0000 -1.3424 4.0526 0.0050 0.0000 -0.6458 5.2516" Properties=species:S:1:pos:R:3 pbc="T T T"
Mg 1.3424 0.0000 0.0000
Ni 1.3424 1.5670 3.8389
Ni 0.0000 1.8398 1.4176
Ta 0.0000 -0.3229 2.6258
```

---

Question: V of number 1 (Sr2MgNi)?
Answer: 112.8 Å³/cell

---

Question: Which value of N(E_F) does entry 4 give?
Answer: 2.68 states/eV/f.u.